{"formula": "Sm4Dy5Ho3", "functional": "PBE", "state": "relaxed", "ef_ev_per_atom": 0.02, "crystal_system": "triclinic", "energy_ev_per_cell": -55.4, "cell": [[6.8767, -0.3928, 1.8416], [-5.1947, 7.4653, -6.6644], [4.0755, -3.8683, 11.5565]], "species": ["Sm", "Sm", "Sm", "Sm", "Dy", "Dy", "Dy", "Dy", "Dy", "Ho", "Ho", "Ho"], "frac_coords": [[0.9168, 0.8342, 0.6663], [0.8321, 0.6650, 0.8328], [0.0832, 0.1658, 0.3337], [0.1679, 0.3350, 0.1672], [0.6678, 0.3344, 0.1666], [0.3322, 0.6656, 0.8334], [0.5000, 0.0000, 0.5000], [0.7514, 0.4988, 0.9988], [0.2486, 0.5012, 0.0012], [0.0000, 0.0000, 0.5000], [0.4198, 0.8356, 0.6674], [0.5802, 0.1645, 0.3326]]}

{"formula": "Sm5DyHo3", "functional": "PBE", "state": "relaxed", "ef_ev_per_atom": 0.50, "crystal_system": "monoclinic", "energy_ev_per_cell": -74.9, "cell": [[-1.4480, -9.3822, 1.0931], [8.6624, -3.6934, 1.6244], [3.2598, -6.6386, 9.0476]], "species": ["Ho", "Ho", "Ho", "Ho", "Ho", "Ho", "Sm", "Sm", "Sm", "Sm", "Sm", "Sm", "Sm", "Sm", "Sm", "Sm", "Dy", "Dy"], "frac_coords": [[0.3383, 0.3383, 0.6462], [0.6617, 0.6617, 0.3538], [0.3154, 0.3154, 0.1764], [0.0000, 0.0000, 0.5000], [0.6846, 0.6846, 0.8236], [0.0000, 0.0000, 0.0000], [0.7454, 0.2546, 0.0000], [0.6564, 0.1520, 0.7422], [0.5085, 0.5085, 0.7637], [0.3436, 0.8480, 0.2578], [0.4915, 0.4915, 0.2363], [0.2546, 0.7454, 0.0000], [0.1520, 0.6564, 0.7422], [0.8480, 0.3436, 0.2578], [0.8214, 0.8214, 0.9539], [0.1786, 0.1786, 0.0461], [0.8451, 0.8451, 0.4069], [0.1549, 0.1549, 0.5931]]}